The following is a PBE calculation of a relaxed Tb2PmTm9 crystal, from Alexandria via LeMat-Bulk.

Cell lengths 11.096, 11.096, 3.485 Å; angles 90.00, 90.00, 120.00 degrees
Element x y z (fractional)
Tb  0.333  0.667  0.000
Tb  0.667  0.333  0.000
Pm  0.000  0.000  0.000
Tm  0.000  0.500  0.000
Tm  0.178  0.355  0.500
Tm  0.178  0.822  0.500
Tm  0.355  0.178  0.500
Tm  0.500  0.000  0.000
Tm  0.500  0.500  0.000
Tm  0.645  0.822  0.500
Tm  0.822  0.178  0.500
Tm  0.822  0.645  0.500

Properties
As for the polymorph energy (0 for the lowest one): 0.00 eV/f.u. The energy of formation from the pure elements is 0.049 eV per atom. The space-group type is No. 191.